1.
A plane-wave DFT calculation with PBE was carried out for a geometry-optimized Tl3InCu structure. Values from VASP.

uncorrected energy = -2.595 eV per atom
SG = No. 221
energy above the lowest structure with this stoichiometry = 0.00 kcal/mol of atoms

Quantum ESPRESSO input file:
```
&SYSTEM
  ibrav = 0, nat = 5, ntyp = 3
/
ATOMIC_SPECIES
Tl 204.38 Tl.upf
In 114.82 In.upf
Cu 63.55 Cu.upf
ATOMIC_POSITIONS crystal
Tl 0.0000 0.0000 0.5000
Tl 0.0000 0.5000 0.0000
Tl 0.5000 0.0000 0.0000
In 0.5000 0.5000 0.5000
Cu 0.0000 0.0000 0.0000
CELL_PARAMETERS angstrom
5.2738 0.0000 0.0000
0.0000 5.2738 0.0000
0.0000 0.0000 5.2738
```


2.
A plane-wave DFT calculation with PBE was carried out for a geometry-optimized Tl2InCu structure. Values from VASP.

uncorrected energy = -2.699 eV per atom
SG = No. 65

Quantum ESPRESSO input file:
```
&SYSTEM
  ibrav = 0, nat = 4, ntyp = 3
/
ATOMIC_SPECIES
Tl 204.38 Tl.upf
In 114.82 In.upf
Cu 63.55 Cu.upf
ATOMIC_POSITIONS crystal
Tl 0.0000 0.0000 0.2011
Tl 0.0000 0.0000 0.7989
In 0.5000 0.5000 0.5000
Cu 0.5000 0.5000 0.0000
CELL_PARAMETERS angstrom
2.3553 -2.3619 0.0000
2.3553 2.3619 0.0000
0.0000 0.0000 8.9289
```


3.
A plane-wave DFT calculation with PBE was carried out for a geometry-optimized Tl2InCu structure. Values from VASP.

uncorrected energy = -2.719 eV per atom
SG = No. 44

Quantum ESPRESSO input file:
```
&SYSTEM
  ibrav = 0, nat = 4, ntyp = 3
/
ATOMIC_SPECIES
Tl 204.38 Tl.upf
In 114.82 In.upf
Cu 63.55 Cu.upf
ATOMIC_POSITIONS crystal
Tl 0.0000 0.0000 0.0000
Tl 0.6946 0.1946 0.5000
In 0.3838 0.3838 0.0000
Cu 0.2009 0.7009 0.5000
CELL_PARAMETERS angstrom
-1.6265 2.5206 6.1987
1.6265 -2.5206 6.1987
1.6265 2.5206 -6.1987
```


What did the second record say?
A plane-wave DFT calculation with PBE was carried out for a geometry-optimized Tl2InCu structure. Values from VASP.

uncorrected energy = -2.699 eV per atom
SG = No. 65

Quantum ESPRESSO input file:
```
&SYSTEM
  ibrav = 0, nat = 4, ntyp = 3
/
ATOMIC_SPECIES
Tl 204.38 Tl.upf
In 114.82 In.upf
Cu 63.55 Cu.upf
ATOMIC_POSITIONS crystal
Tl 0.0000 0.0000 0.2011
Tl 0.0000 0.0000 0.7989
In 0.5000 0.5000 0.5000
Cu 0.5000 0.5000 0.0000
CELL_PARAMETERS angstrom
2.3553 -2.3619 0.0000
2.3553 2.3619 0.0000
0.0000 0.0000 8.9289
```


- Among the records above, which one has the lowest uncorrected energy?
  number 3


- Which value of uncorrected energy does entry 2 give?
  -2.699 eV per atom


- Among the records above, which one has the lowest uncorrected energy?
  number 3